No. 1
Computed, not measured: CdAgTe2 at its PBEsol-relaxed geometry at the SCAN level of DFT.

electronic total energy	-34.22	eV per atom
raw formation energy	-144	meV per atom

Unit cell a=4.151 b=4.151 c=5.848 alpha=90.00 beta=90.00 gamma=90.00
Sites, in units of the cell vectors:
Te1 0.000 0.000 0.875
Te2 0.500 0.500 0.375
Ag1 0.000 0.000 0.375
Cd1 0.500 0.500 0.875

=====

No. 2
Computed, not measured: Cd2AgTe at its PBEsol-relaxed geometry at the SCAN level of DFT.

electronic total energy	-32.25	eV per atom
raw formation energy	109	meV per atom

Unit cell a=4.334 b=4.334 c=5.603 alpha=112.75 beta=112.75 gamma=90.00
Sites, in units of the cell vectors:
Te1 0.500 0.500 0.000
Ag1 0.250 0.750 0.500
Cd1 0.000 0.000 0.000
Cd2 0.750 0.250 0.500

=====

No. 3
Computed, not measured: CdAg4Te at its PBEsol-relaxed geometry at the SCAN level of DFT.

electronic total energy	-32.10	eV per atom
raw formation energy	85	meV per atom

Unit cell a=5.485 b=5.485 c=5.485 alpha=60.00 beta=60.00 gamma=60.00
Sites, in units of the cell vectors:
Ag1 0.874 0.375 0.375
Ag2 0.375 0.375 0.375
Ag3 0.375 0.375 0.874
Ag4 0.375 0.874 0.375
Cd1 0.750 0.750 0.750
Te1 0.000 0.000 0.000